w.
VASP calculation (PBE) on an optimized crystal structure of LuFeCuSb.

```
LuFeCuSb
1.0
6.6788 0.0000 0.0000
0.0000 6.6788 0.0000
0.0000 0.0000 6.6788
Lu Fe Cu Sb
4 4 4 4
Direct
0.0000 0.0000 0.0000
0.0000 0.5000 0.5000
0.5000 0.0000 0.5000
0.5000 0.5000 0.0000
0.2500 0.2500 0.7500
0.2500 0.7500 0.2500
0.7500 0.2500 0.2500
0.7500 0.7500 0.7500
0.0000 0.0000 0.5000
0.0000 0.5000 0.0000
0.5000 0.0000 0.0000
0.5000 0.5000 0.5000
0.2500 0.2500 0.2500
0.2500 0.7500 0.7500
0.7500 0.2500 0.7500
0.7500 0.7500 0.2500
```

Calculated values
Total moment: 8.754 μB/cell
SG: F-43m, No. 216

---

x.
VASP calculation (PBE) on an optimized crystal structure of LuFeCuSb.

```
LuFeCuSb
1.0
6.6209 0.0000 0.0000
0.0000 6.6209 0.0000
0.0000 0.0000 6.6209
Lu Fe Cu Sb
4 4 4 4
Direct
0.0000 0.0000 0.0000
0.0000 0.5000 0.5000
0.5000 0.0000 0.5000
0.5000 0.5000 0.0000
0.0000 0.0000 0.5000
0.0000 0.5000 0.0000
0.5000 0.0000 0.0000
0.5000 0.5000 0.5000
0.2500 0.2500 0.7500
0.2500 0.7500 0.2500
0.7500 0.2500 0.2500
0.7500 0.7500 0.7500
0.2500 0.2500 0.2500
0.2500 0.7500 0.7500
0.7500 0.2500 0.7500
0.7500 0.7500 0.2500
```

Calculated values
Total moment: 9.840 μB/cell
SG: F-43m, No. 216

---

y.
VASP calculation (PBE) on an optimized crystal structure of LuFeCuSb.

```
LuFeCuSb
1.0
6.4640 0.0000 0.0000
0.0000 6.4640 0.0000
0.0000 0.0000 6.4640
Lu Fe Cu Sb
4 4 4 4
Direct
0.0000 0.0000 0.0000
0.0000 0.5000 0.5000
0.5000 0.0000 0.5000
0.5000 0.5000 0.0000
0.2500 0.2500 0.2500
0.2500 0.7500 0.7500
0.7500 0.2500 0.7500
0.7500 0.7500 0.2500
0.2500 0.2500 0.7500
0.2500 0.7500 0.2500
0.7500 0.2500 0.2500
0.7500 0.7500 0.7500
0.0000 0.0000 0.5000
0.0000 0.5000 0.0000
0.5000 0.0000 0.0000
0.5000 0.5000 0.5000
```

Calculated values
Total moment: 5.784 μB/cell
SG: F-43m, No. 216

---

Relative to the most stable structure, the computed energies are w 23.3; x 8.0; y 0.0, all in kJ/mol of atoms.

---

w.
VASP calculation (PBE) on an optimized crystal structure of LuFeCuTe.

```
LuFeCuTe
1.0
6.7479 0.0000 0.0000
0.0000 6.7479 0.0000
0.0000 0.0000 6.7479
Lu Fe Cu Te
4 4 4 4
Direct
0.0000 0.0000 0.0000
0.0000 0.5000 0.5000
0.5000 0.0000 0.5000
0.5000 0.5000 0.0000
0.2500 0.2500 0.7500
0.2500 0.7500 0.2500
0.7500 0.2500 0.2500
0.7500 0.7500 0.7500
0.0000 0.0000 0.5000
0.0000 0.5000 0.0000
0.5000 0.0000 0.0000
0.5000 0.5000 0.5000
0.2500 0.2500 0.2500
0.2500 0.7500 0.7500
0.7500 0.2500 0.7500
0.7500 0.7500 0.2500
```

Calculated values
Total moment: 8.035 μB/cell
SG: F-43m, No. 216

---

x.
VASP calculation (PBE) on an optimized crystal structure of LuFeCuTe.

```
LuFeCuTe
1.0
6.4890 0.0000 0.0000
0.0000 6.4890 0.0000
0.0000 0.0000 6.4890
Lu Fe Cu Te
4 4 4 4
Direct
0.0000 0.0000 0.0000
0.0000 0.5000 0.5000
0.5000 0.0000 0.5000
0.5000 0.5000 0.0000
0.2500 0.2500 0.2500
0.2500 0.7500 0.7500
0.7500 0.2500 0.7500
0.7500 0.7500 0.2500
0.2500 0.2500 0.7500
0.2500 0.7500 0.2500
0.7500 0.2500 0.2500
0.7500 0.7500 0.7500
0.0000 0.0000 0.5000
0.0000 0.5000 0.0000
0.5000 0.0000 0.0000
0.5000 0.5000 0.5000
```

Calculated values
Total moment: 0.687 μB/cell
SG: F-43m, No. 216

---

Relative to the most stable structure, the computed energies are w 14.2; x 0.0, all in kJ/mol of atoms.

---

w.
VASP calculation (PBE) on an optimized crystal structure of LuZnFeCu.

```
LuZnFeCu
1.0
6.3578 0.0000 0.0000
0.0000 6.3578 0.0000
0.0000 0.0000 6.3578
Lu Zn Fe Cu
4 4 4 4
Direct
0.0000 0.0000 0.0000
0.0000 0.5000 0.5000
0.5000 0.0000 0.5000
0.5000 0.5000 0.0000
0.2500 0.2500 0.2500
0.2500 0.7500 0.7500
0.7500 0.2500 0.7500
0.7500 0.7500 0.2500
0.2500 0.2500 0.7500
0.2500 0.7500 0.2500
0.7500 0.2500 0.2500
0.7500 0.7500 0.7500
0.0000 0.0000 0.5000
0.0000 0.5000 0.0000
0.5000 0.0000 0.0000
0.5000 0.5000 0.5000
```

Calculated values
Total moment: 9.178 μB/cell
SG: F-43m, No. 216

---

x.
VASP calculation (PBE) on an optimized crystal structure of LuZnFeCu.

```
LuZnFeCu
1.0
6.3160 0.0000 0.0000
0.0000 6.3160 0.0000
0.0000 0.0000 6.3160
Lu Zn Fe Cu
4 4 4 4
Direct
0.0000 0.0000 0.0000
0.0000 0.5000 0.5000
0.5000 0.0000 0.5000
0.5000 0.5000 0.0000
0.0000 0.0000 0.5000
0.0000 0.5000 0.0000
0.5000 0.0000 0.0000
0.5000 0.5000 0.5000
0.2500 0.2500 0.2500
0.2500 0.7500 0.7500
0.7500 0.2500 0.7500
0.7500 0.7500 0.2500
0.2500 0.2500 0.7500
0.2500 0.7500 0.2500
0.7500 0.2500 0.2500
0.7500 0.7500 0.7500
```

Calculated values
Total moment: 7.846 μB/cell
SG: F-43m, No. 216

---

y.
VASP calculation (PBE) on an optimized crystal structure of LuZnFeCu.

```
LuZnFeCu
1.0
6.3652 0.0000 0.0000
0.0000 6.3652 0.0000
0.0000 0.0000 6.3652
Lu Zn Fe Cu
4 4 4 4
Direct
0.0000 0.0000 0.0000
0.0000 0.5000 0.5000
0.5000 0.0000 0.5000
0.5000 0.5000 0.0000
0.2500 0.2500 0.2500
0.2500 0.7500 0.7500
0.7500 0.2500 0.7500
0.7500 0.7500 0.2500
0.0000 0.0000 0.5000
0.0000 0.5000 0.0000
0.5000 0.0000 0.0000
0.5000 0.5000 0.5000
0.2500 0.2500 0.7500
0.2500 0.7500 0.2500
0.7500 0.2500 0.2500
0.7500 0.7500 0.7500
```

Calculated values
Total moment: 9.994 μB/cell
SG: F-43m, No. 216

---

Relative to the most stable structure, the computed energies are w 11.2; x 2.5; y 0.0, all in kJ/mol of atoms.

---

w.
VASP calculation (PBE) on an optimized crystal structure of ScFeCuMo.

```
ScFeCuMo
1.0
6.1428 0.0000 0.0000
0.0000 6.1428 0.0000
0.0000 0.0000 6.1428
Sc Fe Cu Mo
4 4 4 4
Direct
0.0000 0.0000 0.0000
0.0000 0.5000 0.5000
0.5000 0.0000 0.5000
0.5000 0.5000 0.0000
0.2500 0.2500 0.2500
0.2500 0.7500 0.7500
0.7500 0.2500 0.7500
0.7500 0.7500 0.2500
0.2500 0.2500 0.7500
0.2500 0.7500 0.2500
0.7500 0.2500 0.2500
0.7500 0.7500 0.7500
0.0000 0.0000 0.5000
0.0000 0.5000 0.0000
0.5000 0.0000 0.0000
0.5000 0.5000 0.5000
```

Calculated values
Total moment: 0.557 μB/cell
SG: F-43m, No. 216

---

x.
VASP calculation (PBE) on an optimized crystal structure of ScFeCuMo.

```
ScFeCuMo
1.0
6.0774 0.0000 0.0000
0.0000 6.0774 0.0000
0.0000 0.0000 6.0774
Sc Fe Cu Mo
4 4 4 4
Direct
0.0000 0.0000 0.0000
0.0000 0.5000 0.5000
0.5000 0.0000 0.5000
0.5000 0.5000 0.0000
0.0000 0.0000 0.5000
0.0000 0.5000 0.0000
0.5000 0.0000 0.0000
0.5000 0.5000 0.5000
0.2500 0.2500 0.7500
0.2500 0.7500 0.2500
0.7500 0.2500 0.2500
0.7500 0.7500 0.7500
0.2500 0.2500 0.2500
0.2500 0.7500 0.7500
0.7500 0.2500 0.7500
0.7500 0.7500 0.2500
```

Calculated values
Total moment: 0.004 μB/cell
SG: F-43m, No. 216

---

Relative to the most stable structure, the computed energies are w 0.0; x 3.6, all in kJ/mol of atoms.

---

w.
VASP calculation (PBE) on an optimized crystal structure of NaFeCuOs.

```
NaFeCuOs
1.0
6.0609 0.0000 0.0000
0.0000 6.0609 0.0000
0.0000 0.0000 6.0609
Na Fe Cu Os
4 4 4 4
Direct
0.0000 0.0000 0.0000
0.0000 0.5000 0.5000
0.5000 0.0000 0.5000
0.5000 0.5000 0.0000
0.0000 0.0000 0.5000
0.0000 0.5000 0.0000
0.5000 0.0000 0.0000
0.5000 0.5000 0.5000
0.2500 0.2500 0.7500
0.2500 0.7500 0.2500
0.7500 0.2500 0.2500
0.7500 0.7500 0.7500
0.2500 0.2500 0.2500
0.2500 0.7500 0.7500
0.7500 0.2500 0.7500
0.7500 0.7500 0.2500
```

Calculated values
Total moment: 15.120 μB/cell
SG: F-43m, No. 216

---

x.
VASP calculation (PBE) on an optimized crystal structure of NaFeCuOs.

```
NaFeCuOs
1.0
6.0799 0.0000 0.0000
0.0000 6.0799 0.0000
0.0000 0.0000 6.0799
Na Fe Cu Os
4 4 4 4
Direct
0.0000 0.0000 0.0000
0.0000 0.5000 0.5000
0.5000 0.0000 0.5000
0.5000 0.5000 0.0000
0.2500 0.2500 0.2500
0.2500 0.7500 0.7500
0.7500 0.2500 0.7500
0.7500 0.7500 0.2500
0.2500 0.2500 0.7500
0.2500 0.7500 0.2500
0.7500 0.2500 0.2500
0.7500 0.7500 0.7500
0.0000 0.0000 0.5000
0.0000 0.5000 0.0000
0.5000 0.0000 0.0000
0.5000 0.5000 0.5000
```

Calculated values
Total moment: 14.977 μB/cell
SG: F-43m, No. 216

---

Relative to the most stable structure, the computed energies are w 8.8; x 0.0, all in kJ/mol of atoms.

---

w.
VASP calculation (PBE) on an optimized crystal structure of NaFeCuSe3.

```
NaFeCuSe3
1.0
1.8038 -6.6028 0.0000
1.8038 6.6028 0.0000
0.0000 0.0000 9.7374
Na Fe Cu Se
2 2 2 6
Direct
0.2406 0.7594 0.7500
0.7594 0.2406 0.2500
0.0000 0.0000 0.0000
0.0000 0.0000 0.5000
0.4548 0.5452 0.2500
0.5452 0.4548 0.7500
0.0741 0.9259 0.2500
0.3738 0.6262 0.0334
0.3738 0.6262 0.4666
0.6262 0.3738 0.5334
0.6262 0.3738 0.9666
0.9259 0.0741 0.7500
```

Calculated values
Total moment: 4.361 μB/cell
SG: Cmcm, No. 63

---

x.
VASP calculation (PBE) on an optimized crystal structure of NaFeCuSe3.

```
NaFeCuSe3
1.0
7.3600 0.0000 0.0000
0.0000 3.6550 0.0000
-3.1225 0.0000 8.7395
Na Fe Cu Se
2 2 2 6
Direct
0.2457 0.2500 0.2070
0.7543 0.7500 0.7930
0.1883 0.7500 0.6585
0.8117 0.2500 0.3415
0.4270 0.2500 0.8961
0.5730 0.7500 0.1039
0.0460 0.7500 0.3797
0.2256 0.7500 0.9321
0.3992 0.2500 0.6342
0.6008 0.7500 0.3658
0.7744 0.2500 0.0679
0.9540 0.2500 0.6203
```

Calculated values
Total moment: 3.279 μB/cell
SG: P2_1/m, No. 11

---

Relative to the most stable structure, the computed energies are w 4.6; x 0.0, all in kJ/mol of atoms.

---

w.
VASP calculation (PBE) on an optimized crystal structure of NbFeCu.

```
NbFeCu
1.0
5.7905 0.0000 0.0000
0.0000 5.7905 0.0000
0.0000 0.0000 5.7905
Nb Fe Cu
4 4 4
Direct
0.0000 0.0000 0.0000
0.0000 0.5000 0.5000
0.5000 0.0000 0.5000
0.5000 0.5000 0.0000
0.2500 0.2500 0.7500
0.2500 0.7500 0.2500
0.7500 0.2500 0.2500
0.7500 0.7500 0.7500
0.2500 0.2500 0.2500
0.2500 0.7500 0.7500
0.7500 0.2500 0.7500
0.7500 0.7500 0.2500
```

Calculated values
Total moment: 0.005 μB/cell
SG: F-43m, No. 216

---

x.
VASP calculation (PBE) on an optimized crystal structure of NbFeCu.

```
NbFeCu
1.0
5.6986 0.0000 0.0000
0.0000 5.6986 0.0000
0.0000 0.0000 5.6986
Nb Fe Cu
4 4 4
Direct
0.0000 0.0000 0.0000
0.0000 0.5000 0.5000
0.5000 0.0000 0.5000
0.5000 0.5000 0.0000
0.2500 0.2500 0.7500
0.2500 0.7500 0.2500
0.7500 0.2500 0.2500
0.7500 0.7500 0.7500
0.0000 0.0000 0.5000
0.0000 0.5000 0.0000
0.5000 0.0000 0.0000
0.5000 0.5000 0.5000
```

Calculated values
Total moment: 0.005 μB/cell
SG: F-43m, No. 216

---

Relative to the most stable structure, the computed energies are w 30.8; x 0.0, all in kJ/mol of atoms.